(1)
SiGeAu PBE relaxed; symmetry = Pm, No. 6; energy above the most stable polymorph in this dataset = 80 meV/atom; raw total energy = -4.304 eV/atom; formation energy (no corrections) = 3.11 kcal/mol of atoms; density of states at the Fermi level = 0.97 states/eV/f.u.
1.0
4.763 0.000 0.000
0.000 3.723 0.000
-2.373 0.000 6.880
Si Ge Au
2 2 2
direct
0.000 0.000 0.000
0.110 0.500 0.216
0.245 0.000 0.487
0.676 0.500 0.351
0.443 0.000 0.884
0.819 0.000 0.635

---

(2)
CuRh PBE relaxed; ΔH_f (0 K) = 0.060 eV per atom; symmetry = R-3m, No. 166; raw total energy = -5.664 eV/atom; density of states at the Fermi level = 3.29 states/eV/f.u.
1.0
2.685 0.000 0.000
-1.343 2.325 0.000
0.000 0.000 12.792
Cu Rh
3 3
direct
0.000 0.000 0.000
0.333 0.667 0.667
0.667 0.333 0.333
0.000 0.000 0.500
0.333 0.667 0.167
0.667 0.333 0.833

---

(3)
Ni2AsRh PBE relaxed; ΔH_f (0 K) = -0.027 eV per atom; symmetry = I4/mmm, No. 139; raw total energy = -5.918 eV/atom; density of states at the Fermi level = 6.83 states/eV/f.u.
1.0
3.687 0.000 0.000
0.000 3.687 0.000
0.000 0.000 7.565
Ni As Rh
4 2 2
direct
0.000 0.500 0.250
0.000 0.500 0.750
0.500 0.000 0.250
0.500 0.000 0.750
0.000 0.000 0.000
0.500 0.500 0.500
0.000 0.000 0.500
0.500 0.500 0.000

---

(4)
Sc2GePt PBE relaxed; ΔH_f (0 K) = -0.192 eV per atom; symmetry = I-42d, No. 122; raw total energy = -6.023 eV/atom; density of states at the Fermi level = 0.50 states/eV/f.u.
1.0
5.576 0.000 0.000
0.000 5.576 0.000
0.000 0.000 13.973
Sc Ge Pt
8 4 4
direct
0.248 0.250 0.125
0.250 0.748 0.375
0.250 0.752 0.875
0.252 0.250 0.625
0.748 0.750 0.625
0.750 0.248 0.875
0.750 0.252 0.375
0.752 0.750 0.125
0.000 0.000 0.500
0.000 0.500 0.750
0.500 0.000 0.250
0.500 0.500 0.000
0.000 0.000 0.000
0.000 0.500 0.250
0.500 0.000 0.750
0.500 0.500 0.500

---

(5)
NaTmAg2 PBE relaxed; ΔH_f (0 K) = -0.091 eV per atom; symmetry = Fm-3m, No. 225; energy above the most stable polymorph in this dataset = 63 meV/atom; raw total energy = -2.964 eV/atom; density of states at the Fermi level = 2.44 states/eV/f.u.
1.0
7.098 0.000 0.000
0.000 7.098 0.000
0.000 0.000 7.098
Na Tm Ag
4 4 8
direct
0.000 0.000 0.000
0.000 0.500 0.500
0.500 0.000 0.500
0.500 0.500 0.000
0.000 0.000 0.500
0.000 0.500 0.000
0.500 0.000 0.000
0.500 0.500 0.500
0.250 0.250 0.250
0.250 0.250 0.750
0.250 0.750 0.250
0.250 0.750 0.750
0.750 0.250 0.250
0.750 0.250 0.750
0.750 0.750 0.250
0.750 0.750 0.750

---

(6)
Er2NiBr PBE relaxed; symmetry = R-3m, No. 166; energy above the most stable polymorph in this dataset = 0 meV/atom; raw total energy = -4.961 eV/atom; formation energy (no corrections) = -18.81 kcal/mol of atoms; density of states at the Fermi level = 2.86 states/eV/f.u.
1.0
3.906 0.000 0.000
-1.953 3.382 0.000
0.000 0.000 22.452
Er Ni Br
6 3 3
direct
0.000 0.000 0.230
0.000 0.000 0.770
0.333 0.667 0.437
0.333 0.667 0.896
0.667 0.333 0.104
0.667 0.333 0.563
0.000 0.000 0.500
0.333 0.667 0.167
0.667 0.333 0.833
0.000 0.000 0.000
0.333 0.667 0.667
0.667 0.333 0.333

---

(7)
Tl2Pd5Pt PBE relaxed; ΔH_f (0 K) = -0.166 eV per atom; symmetry = Pbam, No. 55; energy above the most stable polymorph in this dataset = 0 meV/atom; raw total energy = -4.758 eV/atom; density of states at the Fermi level = 8.49 states/eV/f.u.
1.0
5.725 0.000 0.000
0.000 11.454 0.000
0.000 0.000 4.160
Tl Pd Pt
4 10 2
direct
0.241 0.127 0.000
0.259 0.627 0.000
0.741 0.373 0.000
0.759 0.873 0.000
0.000 0.000 0.500
0.009 0.749 0.500
0.242 0.377 0.000
0.258 0.877 0.000
0.491 0.249 0.500
0.500 0.500 0.500
0.509 0.751 0.500
0.742 0.123 0.000
0.758 0.623 0.000
0.991 0.251 0.500
0.000 0.500 0.500
0.500 0.000 0.500

---

(8)
Tb4SeS5 PBE relaxed; symmetry = C2/m, No. 12; energy above the most stable polymorph in this dataset = 19 meV/atom; raw total energy = -6.239 eV/atom; formation energy (no corrections) = -45.54 kcal/mol of atoms
1.0
8.655 -2.010 0.000
8.655 2.010 0.000
-2.479 0.000 7.770
Tb Se S
4 1 5
direct
0.004 0.004 0.269
0.315 0.315 0.867
0.685 0.685 0.133
0.996 0.996 0.731
0.500 0.500 0.000
0.161 0.161 0.881
0.163 0.163 0.333
0.500 0.500 0.500
0.837 0.837 0.667
0.839 0.839 0.119

---

Density? In order: 8.10 10.38 9.54 5.47 7.57 7.95 13.83 5.37 g/cm3.
Volume? In order: 20.33 13.31 12.85 27.15 22.35 24.72 17.05 27.04 Å³ per atom.